# 1
Below is TlNiBiPb2 after structural relaxation, with properties calculated at the PBE level.

Geometry as POSCAR:
```
TlNiBiPb2
1.0
-4.641 2.098 -1.075
-0.157 -2.644 -4.481
-2.429 -4.093 2.501
Bi Tl Pb Ni
1 1 2 1
Direct
0.000 0.000 0.500
0.500 0.500 0.500
0.000 0.500 0.000
0.500 0.000 0.000
0.000 0.000 0.000
```



# 2
Below is Sm6TmAl after structural relaxation, with properties calculated at the PBE level.

Geometry as POSCAR:
```
Sm6TmAl
1.0
4.928 0.000 0.000
0.000 4.928 0.000
0.000 0.000 10.079
Sm Al Tm
6 1 1
Direct
0.500 0.500 0.500
0.500 0.000 0.739
0.000 0.500 0.261
0.500 0.000 0.261
0.000 0.500 0.739
0.500 0.500 0.000
0.000 0.000 0.500
0.000 0.000 0.000
```



# 3
Below is NiGeRh2 after structural relaxation, with properties calculated at the PBE level.

Geometry as POSCAR:
```
NiGeRh2
1.0
3.730 0.000 0.000
0.000 3.730 0.000
1.865 1.865 8.612
Rh Ni Ge
4 2 2
Direct
0.375 0.387 0.750
0.875 0.863 0.750
0.613 0.125 0.250
0.137 0.625 0.250
0.250 0.750 0.500
0.500 0.500 0.000
0.000 0.000 0.000
0.750 0.250 0.500
```



Number 1: ΔE_f 70 kJ/mol of formula units, calculated total energy -18.72 eV/cell. Number 2: ΔE_f -50 kJ/mol of formula units, calculated total energy -37.04 eV/cell. Number 3: ΔE_f 58 kJ/mol of formula units, calculated total energy -49.00 eV/cell.